[1]
A plane-wave DFT calculation with GGA-PBE was carried out for crystalline Pm2Dy3HoTm6 at its relaxed geometry.

## Properties
**Energy of formation from the pure elements**: 21 meV/atom
**V**: 31.0 A^3/atom
**Size of the total moment**: 0.00 μB/atom
**E**: -4.54 eV per atom

Cell lengths 6.121, 10.593, 11.661 Å; angles 90.00, 100.05, 90.00 degrees
Space group C2/m (No. 12)
Inequivalent atoms, fractional coordinates:
Pm 0.000 0.167 0.000 [4 per cell]
Dy 0.000 0.000 0.500 [2 per cell]
Dy 0.000 0.333 0.500 [4 per cell]
Ho 0.000 0.500 0.000 [2 per cell]
Tm 0.248 0.500 0.748 [4 per cell]
Tm 0.249 0.166 0.748 [8 per cell]

=====

[2]
A plane-wave DFT calculation with GGA-PBE was carried out for crystalline Pm3DyHoTm at its relaxed geometry.

## Properties
**Energy of formation from the pure elements**: 21 meV/atom
**V**: 32.6 A^3/atom
**Size of the total moment**: 0.00 μB/atom
**E**: -4.63 eV per atom

Cell lengths 8.011, 5.079, 10.125 Å; angles 90.00, 108.50, 90.00 degrees
Space group P2_1/m (No. 11)
Inequivalent atoms, fractional coordinates:
Pm 0.167 0.250 0.043 [2 per cell]
Pm 0.169 0.250 0.541 [2 per cell]
Pm 0.169 0.750 0.791 [2 per cell]
Dy 0.498 0.750 0.126 [2 per cell]
Ho 0.171 0.750 0.294 [2 per cell]
Tm 0.499 0.250 0.377 [2 per cell]

=====

[3]
A plane-wave DFT calculation with GGA-PBE was carried out for crystalline PmDyHoTm2 at its relaxed geometry.

## Properties
**Energy of formation from the pure elements**: 362 meV/atom
**V**: 33.3 A^3/atom
**Size of the total moment**: 0.00 μB/atom
**E**: -4.21 eV per atom

Cell lengths 6.339, 16.560, 6.335 Å; angles 90.00, 90.00, 90.00 degrees
Space group Cmcm (No. 63)
Inequivalent atoms, fractional coordinates:
Pm 0.000 0.158 0.250 [4 per cell]
Dy 0.000 0.345 0.250 [4 per cell]
Ho 0.000 0.246 0.750 [4 per cell]
Tm 0.250 0.000 0.000 [8 per cell]

=====

[4]
A plane-wave DFT calculation with GGA-PBE was carried out for crystalline PmDy6Ho2Tm3 at its relaxed geometry.

## Properties
**Energy of formation from the pure elements**: 19 meV/atom
**V**: 31.1 A^3/atom
**Size of the total moment**: 0.00 μB/atom
**E**: -4.56 eV per atom

Cell lengths 6.122, 10.591, 11.706 Å; angles 90.00, 99.99, 90.00 degrees
Space group C2/m (No. 12)
Inequivalent atoms, fractional coordinates:
Pm 0.000 0.000 0.000 [2 per cell]
Dy 0.248 0.333 0.748 [8 per cell]
Dy 0.249 0.000 0.748 [4 per cell]
Ho 0.000 0.333 0.000 [4 per cell]
Tm 0.000 0.167 0.500 [4 per cell]
Tm 0.000 0.500 0.500 [2 per cell]

=====

[5]
A plane-wave DFT calculation with GGA-PBE was carried out for crystalline PmDy6YHo2 at its relaxed geometry.

## Properties
**Energy of formation from the pure elements**: 118 meV/atom
**V**: 32.3 A^3/atom
**Size of the total moment**: 0.00 μB/atom
**E**: -4.68 eV per atom

Cell lengths 9.051, 15.055, 9.544 Å; angles 90.00, 97.29, 90.00 degrees
Space group C2/c (No. 15)
Inequivalent atoms, fractional coordinates:
Pm 0.000 0.025 0.250 [4 per cell]
Dy 0.063 0.186 0.944 [8 per cell]
Dy 0.100 0.392 0.120 [8 per cell]
Dy 0.207 0.226 0.318 [8 per cell]
Y 0.000 0.409 0.750 [4 per cell]
Ho 0.249 0.448 0.455 [8 per cell]

=====

[6]
A plane-wave DFT calculation with GGA-PBE was carried out for crystalline Pm2DyY2Ho4 at its relaxed geometry.

## Properties
**Energy of formation from the pure elements**: -3 meV/atom
**V**: 32.1 A^3/atom
**Size of the total moment**: 0.00 μB/atom
**E**: -5.04 eV per atom

Cell lengths 18.669, 3.596, 9.557 Å; angles 90.00, 115.74, 90.00 degrees
Space group C2/m (No. 12)
Inequivalent atoms, fractional coordinates:
Pm 0.166 0.000 0.001 [4 per cell]
Dy 0.000 0.500 0.000 [2 per cell]
Y 0.147 0.500 0.663 [4 per cell]
Ho 0.019 0.000 0.334 [4 per cell]
Ho 0.185 0.500 0.336 [4 per cell]

=====

[7]
A plane-wave DFT calculation with GGA-PBE was carried out for crystalline Pm2DyY6Ho at its relaxed geometry.

## Properties
**Energy of formation from the pure elements**: 114 meV/atom
**V**: 32.9 A^3/atom
**Size of the total moment**: 0.00 μB/atom
**E**: -5.63 eV per atom

Cell lengths 9.077, 15.044, 9.763 Å; angles 90.00, 99.68, 90.00 degrees
Space group C2/c (No. 15)
Inequivalent atoms, fractional coordinates:
Pm 0.243 0.050 0.044 [8 per cell]
Dy 0.000 0.406 0.250 [4 per cell]
Y 0.065 0.188 0.443 [8 per cell]
Y 0.102 0.396 0.619 [8 per cell]
Y 0.202 0.222 0.814 [8 per cell]
Ho 0.000 0.019 0.750 [4 per cell]

=====

[8]
A plane-wave DFT calculation with GGA-PBE was carried out for crystalline PmDy6Y3Ho2 at its relaxed geometry.

## Properties
**Energy of formation from the pure elements**: 18 meV/atom
**V**: 31.8 A^3/atom
**Size of the total moment**: 0.00 μB/atom
**E**: -5.06 eV per atom

Cell lengths 6.159, 10.658, 11.788 Å; angles 90.00, 99.97, 90.00 degrees
Space group C2/m (No. 12)
Inequivalent atoms, fractional coordinates:
Pm 0.000 0.000 0.000 [2 per cell]
Dy 0.250 0.000 0.750 [4 per cell]
Dy 0.250 0.167 0.250 [8 per cell]
Y 0.000 0.167 0.500 [4 per cell]
Y 0.000 0.500 0.500 [2 per cell]
Ho 0.000 0.333 0.000 [4 per cell]

=====

[9]
A plane-wave DFT calculation with GGA-PBE was carried out for crystalline Pm4DyY2Ho2 at its relaxed geometry.

## Properties
**Energy of formation from the pure elements**: 19 meV/atom
**V**: 32.8 A^3/atom
**Size of the total moment**: 0.00 μB/atom
**E**: -5.06 eV per atom

Cell lengths 15.252, 5.079, 8.033 Å; angles 90.00, 108.43, 90.00 degrees
Space group C2/m (No. 12)
Inequivalent atoms, fractional coordinates:
Pm 0.055 0.000 0.330 [4 per cell]
Pm 0.222 0.500 0.332 [4 per cell]
Dy 0.000 0.500 0.000 [2 per cell]
Y 0.112 0.500 0.669 [4 per cell]
Ho 0.167 0.000 0.000 [4 per cell]

=====

[10]
A plane-wave DFT calculation with GGA-PBE was carried out for crystalline Pm3Dy2YHo6 at its relaxed geometry.

## Properties
**Energy of formation from the pure elements**: 18 meV/atom
**V**: 31.9 A^3/atom
**Size of the total moment**: 0.00 μB/atom
**E**: -4.76 eV per atom

Cell lengths 6.178, 10.694, 11.784 Å; angles 90.00, 100.02, 90.00 degrees
Space group C2/m (No. 12)
Inequivalent atoms, fractional coordinates:
Pm 0.000 0.000 0.000 [2 per cell]
Pm 0.000 0.333 0.000 [4 per cell]
Dy 0.000 0.167 0.500 [4 per cell]
Y 0.000 0.500 0.500 [2 per cell]
Ho 0.249 0.000 0.748 [4 per cell]
Ho 0.250 0.167 0.252 [8 per cell]

=====

[11]
A plane-wave DFT calculation with GGA-PBE was carried out for crystalline PmDy2Y6Ho at its relaxed geometry.

## Properties
**Energy of formation from the pure elements**: 118 meV/atom
**V**: 32.6 A^3/atom
**Size of the total moment**: 0.00 μB/atom
**E**: -5.61 eV per atom

Cell lengths 9.126, 15.030, 9.612 Å; angles 90.00, 97.89, 90.00 degrees
Space group C2/c (No. 15)
Inequivalent atoms, fractional coordinates:
Pm 0.000 0.024 0.250 [4 per cell]
Dy 0.249 0.051 0.547 [8 per cell]
Y 0.063 0.185 0.943 [8 per cell]
Y 0.099 0.392 0.117 [8 per cell]
Y 0.209 0.224 0.317 [8 per cell]
Ho 0.000 0.409 0.750 [4 per cell]

=====

[12]
A plane-wave DFT calculation with GGA-PBE was carried out for crystalline Pm2DyYHo2 at its relaxed geometry.

## Properties
**Energy of formation from the pure elements**: 63 meV/atom
**V**: 32.3 A^3/atom
**Size of the total moment**: 0.00 μB/atom
**E**: -4.89 eV per atom

Cell lengths 7.020, 5.647, 9.776 Å; angles 90.00, 90.00, 90.00 degrees
Space group Pmma (No. 51)
Inequivalent atoms, fractional coordinates:
Pm 0.000 0.000 0.000 [2 per cell]
Pm 0.250 0.500 0.175 [2 per cell]
Dy 0.250 0.000 0.661 [2 per cell]
Y 0.000 0.500 0.500 [2 per cell]
Ho 0.250 0.000 0.331 [2 per cell]
Ho 0.250 0.500 0.837 [2 per cell]